The following is a GGA+U calculation of an optimized crystal structure of Sc2Mo2O7, from Alexandria via LeMat-Bulk.

Structure (CIF):
```
data_Sc2Mo2O7
_cell_length_a 7.156
_cell_length_b 7.156
_cell_length_c 7.156
_cell_angle_alpha 60.00
_cell_angle_beta 60.00
_cell_angle_gamma 60.00
_symmetry_space_group_name_H-M 'P 1'
_symmetry_Int_Tables_number 1
loop_
_symmetry_equiv_pos_as_xyz
'x,y,z'
loop_
_atom_site_label
_atom_site_type_symbol
_atom_site_fract_x
_atom_site_fract_y
_atom_site_fract_z
_atom_site_occupancy
Sc1 Sc 0.000 0.000 0.000 1
Sc2 Sc 0.000 0.000 0.500 1
Sc3 Sc 0.000 0.500 0.000 1
Sc4 Sc 0.500 0.000 0.000 1
Mo1 Mo 0.000 0.500 0.500 1
Mo2 Mo 0.500 0.000 0.500 1
Mo3 Mo 0.500 0.500 0.000 1
Mo4 Mo 0.500 0.500 0.500 1
O1 O 0.125 0.125 0.125 1
O2 O 0.154 0.154 0.596 1
O3 O 0.154 0.596 0.154 1
O4 O 0.154 0.596 0.596 1
O5 O 0.404 0.404 0.846 1
O6 O 0.404 0.846 0.404 1
O7 O 0.404 0.846 0.846 1
O8 O 0.596 0.154 0.154 1
O9 O 0.596 0.154 0.596 1
O10 O 0.596 0.596 0.154 1
O11 O 0.846 0.404 0.404 1
O12 O 0.846 0.404 0.846 1
O13 O 0.846 0.846 0.404 1
O14 O 0.875 0.875 0.875 1
```

## Properties
Calculated density, kg/m3: 5047
SG: Fd-3m (227)
Fermi-level density of states, states/eV/atom: 0.202
M_tot, Bohr magnetons per cell: 8.0
Raw total energy, Ry/atom: -0.5860